VASP calculation (PBE) on crystalline Pm5PrEr2 at its relaxed geometry.

Lattice parameters (Å, degrees): 9.8068 9.8068 6.5434 97.58 97.58 61.45
Last column: nearest neighbours and their distance in Å.
Sites, in units of the cell vectors:
Pm  0.0533  0.9467  0.7500  4 Er 3.28-3.49, 2 Pm 3.44
Pm  0.1105  0.2877  0.0159  1 Er 3.46, 2 Pr 3.51-3.54, 6 Pm 3.68-3.81
Pm  0.2877  0.1105  0.5159  1 Er 3.46, 2 Pr 3.51-3.54, 6 Pm 3.68-3.81
Pm  0.3094  0.4999  0.8640  4 Er 3.43-3.64, 1 Pr 3.60, 5 Pm 3.75-3.79
Pm  0.4999  0.3094  0.3640  4 Er 3.43-3.64, 1 Pr 3.60, 5 Pm 3.75-3.79
Pm  0.5001  0.6906  0.6360  4 Er 3.43-3.64, 1 Pr 3.60, 5 Pm 3.75-3.79
Pm  0.6906  0.5001  0.1360  4 Er 3.43-3.64, 1 Pr 3.60, 5 Pm 3.75-3.79
Pm  0.7123  0.8895  0.4841  1 Er 3.46, 2 Pr 3.51-3.54, 6 Pm 3.68-3.81
Pm  0.8895  0.7123  0.9841  1 Er 3.46, 2 Pr 3.51-3.54, 6 Pm 3.68-3.81
Pm  0.9467  0.0533  0.2500  4 Er 3.28-3.49, 2 Pm 3.44
Pr  0.0000  0.5000  0.5000  2 Er 3.15, 2 Pm 3.51
Pr  0.5000  0.0000  0.0000  2 Er 3.15, 2 Pm 3.51
Er  0.1778  0.6690  0.3761  1 Pr 3.15, 1 Er 3.27, 5 Pm 3.28-3.49
Er  0.3310  0.8222  0.1239  1 Pr 3.15, 1 Er 3.27, 5 Pm 3.28-3.49
Er  0.6690  0.1778  0.8761  1 Pr 3.15, 1 Er 3.27, 5 Pm 3.28-3.49
Er  0.8222  0.3310  0.6239  1 Pr 3.15, 1 Er 3.27, 5 Pm 3.28-3.49

Summary:
The symmetry is C2/c, No. 15. For the offset from the most stable computed form, the calculation gives 0.141 eV/atom. The calculation puts the volume at 546 Å³/cell.